VASP calculation (PBE) on a relaxed TaCoSe2 crystal.

## Properties
Magnetic moment: 0.8 μB per cell
E_form (uncorrected): -0.3276 eV per atom

Lattice parameters (Å, degrees): 7.3796 7.3796 7.3796 152.72 149.66 41.26
Last column: magnetic moment on the atom in μB.
Element x y z (fractional)
Se1 0.3782 0.3782 0.0000  0.02
Se2 0.1218 0.1218 0.0000  0.02
Co1 0.2500 0.7500 0.5000  0.66
Ta1 0.7500 0.2500 0.5000  0.01